VASP calculation (GGA-PBE) on a relaxed BaCoCuW crystal.

- Energy above the lowest structure with this stoichiometry: 23.3 kJ per mole of atoms
- ρ: 10.56 Mg/m³

Structure (POSCAR):
```
BaCoCuW
1.0
0.000 3.267 3.267
3.267 0.000 3.267
3.267 3.267 0.000
Ba Co Cu W
1 1 1 1
direct
0.000 0.000 0.000 Ba
0.250 0.250 0.250 Co
0.500 0.500 0.500 Cu
0.750 0.750 0.750 W
```